Entry from the Alexandria database: TaAlFe2 after structural relaxation (PBE).

Computed properties:
As for the density of states at the Fermi level: 1.350 states/eV/atom. Its calculated formation energy is 0.115 eV per atom. As for the volume: 14.23 Å³ per atom.

Cell: 2.8863 2.8863 23.6664 Å, 90.00 90.00 120.00°
Space group R-3m (No. 166, hexagonal axes)
Symmetry-distinct sites (fractional):
Ta  0.0000  0.0000  0.0000
Al  0.0000  0.0000  0.5000
Fe  0.0000  0.0000  0.2491